Density functional theory data (PBE+U) for a relaxed RbVSbF6 crystal.

Values from the calculation:
As for the final energy: -5.117 eV/atom. Its theoretical density is 3.616 g/cm3.

Unit cell a=5.530 b=5.563 c=6.064 alpha=90.88 beta=113.62 gamma=90.22
Space group P1 (No. 1)
Unique sites:
Rb (0.000, 0.000, 0.000)
V (0.327, 0.562, 0.695)
Sb (0.664, 0.488, 0.313)
F (0.107, 0.320, 0.455)
F (0.281, 0.424, 0.983)
F (0.410, 0.702, 0.412)
F (0.459, 0.849, 0.880)
F (0.655, 0.401, 0.794)
F (0.958, 0.713, 0.589)